HfMgS2 | the Alexandria database | GGA-PBE | optimized geometry; SG = R-3m (166); density of states at the Fermi level = 4.94 states/eV per cell; crystal system = trigonal; calculated total energy = -6.12 eV/atom; distance to the lowest polymorph of the same formula = 0.047 eV/atom
1.0
3.544 0.000 0.000
-1.772 3.069 0.000
0.000 0.000 24.952
Hf Mg S
3 3 6
Cartesian
0.000 0.000 0.000
0.000 2.046 16.634
1.772 1.023 8.317
0.000 0.000 12.476
0.000 2.046 4.159
1.772 1.023 20.793
0.000 0.000 9.844
0.000 0.000 15.108
0.000 2.046 1.527
0.000 2.046 6.791
1.772 1.023 18.161
1.772 1.023 23.425